4
Lattice="0.000 3.448 3.448 3.448 0.000 3.448 3.448 3.448 0.000" Properties=species:S:1:pos:R:3 comment="PaCuPtPb | Alexandria | PBE-GGA | optimized geometry" magmom_total_mub_per_fu=0.00 dos_ef_per_ev_cell=2.3 delta_e_f_mev_per_atom=-327 vol_a3_per_cell=82.0 pbc="T T T"
Pa 0.000 0.000 0.000
Cu 5.172 5.172 5.172
Pt 1.724 1.724 1.724
Pb 3.448 3.448 3.448